No. 1
This record from Alexandria via LeMat-Bulk describes crystalline TbCe2Dy3Bi6 at its relaxed geometry. The functional is GGA-PBE.

```
12
Lattice="-1.854 3.996 1.045 -5.236 -0.506 -7.349 -4.528 -6.346 6.426" Properties=species:S:1:pos:R:3 pbc="T T T"
Tb -0.927 1.998 0.523
Ce -8.072 -1.247 0.257
Ce -3.545 -1.609 -0.135
Dy -3.545 1.745 -3.152
Dy -5.429 -0.981 3.930
Dy -6.188 -1.874 -3.808
Bi -8.462 -3.365 -2.138
Bi -5.804 0.263 -1.492
Bi -3.156 0.510 2.260
Bi -7.669 -2.460 5.609
Bi -3.948 -0.396 -5.487
Bi -5.814 -3.119 1.614
```

Output
* energy relative to the elements: -0.841 eV/atom
* space-group type: C2/m
* crystal system: monoclinic
* V: 32.69 Å³/atom
* total DFT energy (no corrections): -5.307 eV/atom

=====

No. 2
This record from Alexandria via LeMat-Bulk describes crystalline TbCe3Dy2Bi6 at its relaxed geometry. The functional is GGA-PBE.

```
12
Lattice="7.871 -0.001 0.001 -3.934 6.817 0.001 -1.313 -2.273 7.414" Properties=species:S:1:pos:R:3 pbc="T T T"
Tb 0.000 0.000 0.000
Ce -2.625 4.545 3.708
Ce 5.249 -0.003 3.708
Ce 1.312 2.271 3.708
Dy 0.001 4.544 0.001
Dy 3.935 2.272 0.001
Bi 3.938 2.267 5.610
Bi 2.622 4.540 1.805
Bi -1.314 2.276 1.806
Bi -0.005 4.544 5.610
Bi 0.002 0.003 5.610
Bi 2.628 -0.001 1.806
```

Output
* energy relative to the elements: -0.831 eV/atom
* space-group type: C2/m
* crystal system: monoclinic
* V: 33.15 Å³/atom
* total DFT energy (no corrections): -5.407 eV/atom

=====

No. 3
This record from Alexandria via LeMat-Bulk describes crystalline TbCe2DyBi4 at its relaxed geometry. The functional is GGA-PBE.

```
8
Lattice="4.546 0.000 0.000 0.000 7.860 -0.151 0.000 2.771 7.372" Properties=species:S:1:pos:R:3 pbc="T T T"
Tb 2.273 3.930 -0.075
Ce 0.000 2.771 7.372
Ce 2.273 1.386 3.686
Dy 0.000 5.316 3.611
Bi 0.000 7.930 5.428
Bi 4.546 2.701 1.794
Bi 2.273 6.545 1.751
Bi 2.273 4.087 5.471
```

Output
* energy relative to the elements: -0.832 eV/atom
* space-group type: P2/m
* crystal system: monoclinic
* V: 33.17 Å³/atom
* total DFT energy (no corrections): -5.410 eV/atom

=====

No. 4
This record from Alexandria via LeMat-Bulk describes crystalline Tb2Ce3DyBi6 at its relaxed geometry. The functional is GGA-PBE.

```
12
Lattice="-2.743 -1.386 7.249 7.392 -1.977 -1.857 0.786 7.822 0.367" Properties=species:S:1:pos:R:3 pbc="T T T"
Tb 4.012 -1.780 1.180
Tb 0.637 -1.583 4.213
Ce 6.093 2.033 -0.153
Ce -0.657 2.427 5.912
Ce 2.718 2.230 2.880
Dy 0.000 0.000 0.000
Bi 2.407 3.484 5.850
Bi 3.673 -0.608 4.127
Bi 3.028 0.976 -0.090
Bi 5.778 3.288 2.821
Bi 1.762 5.068 1.633
Bi -0.343 1.172 2.939
```

Output
* energy relative to the elements: -0.834 eV/atom
* space-group type: C2/m
* crystal system: monoclinic
* V: 33.20 Å³/atom
* total DFT energy (no corrections): -5.413 eV/atom

=====

No. 5
This record from Alexandria via LeMat-Bulk describes crystalline CeDyBiTe at its relaxed geometry. The functional is GGA-PBE.

```
4
Lattice="-0.155 -1.485 -5.262 -0.514 -5.279 -1.338 -4.668 -1.824 -2.191" Properties=species:S:1:pos:R:3 pbc="T T T"
Te 0.000 0.000 0.000
Bi -2.669 -4.294 -4.396
Ce -1.334 -2.147 -2.198
Dy -4.003 -6.440 -6.593
```

Output
* relative energy among the computed polymorphs: 189.0 meV per atom
* space-group type: F-43m
* crystal system: cubic
* E_form (uncorrected): -0.905 eV per atom
* V: 28.93 Å³/atom
* total DFT energy (no corrections): -5.294 eV/atom

=====

No. 6
This record from Alexandria via LeMat-Bulk describes crystalline CeDyBiTe at its relaxed geometry. The functional is GGA-PBE.

```
4
Lattice="-1.814 -4.013 0.830 -0.533 -2.951 -3.331 5.900 -5.061 0.525" Properties=species:S:1:pos:R:3 pbc="T T T"
Ce -1.221 -7.425 -2.271
Dy 2.887 -6.467 -0.762
Bi 3.721 -9.451 -1.267
Te 2.078 -3.494 -0.252
```

Output
* relative energy among the computed polymorphs: 0.0 meV per atom
* space-group type: R3m
* crystal system: trigonal
* E_form (uncorrected): -1.094 eV per atom
* V: 31.95 Å³/atom
* total DFT energy (no corrections): -5.483 eV/atom

=====

No. 7
This record from Alexandria via LeMat-Bulk describes crystalline CeDy2ThBi5 at its relaxed geometry. The functional is GGA-PBE.

```
9
Lattice="5.715 0.000 0.000 0.000 5.715 0.000 0.000 0.000 12.080" Properties=species:S:1:pos:R:3 pbc="T T T"
Ce 0.000 0.000 0.000
Dy 2.858 2.858 3.224
Dy 2.858 2.858 8.856
Th 0.000 0.000 6.040
Bi 0.000 2.858 6.040
Bi 2.858 0.000 6.040
Bi 0.000 0.000 9.129
Bi 0.000 0.000 2.951
Bi 2.858 2.858 0.000
```

Output
* energy relative to the elements: 0.208 eV/atom
* space-group type: P4/mmm
* crystal system: tetragonal
* V: 43.84 Å³/atom
* total DFT energy (no corrections): -4.454 eV/atom

=====

No. 8
This record from Alexandria via LeMat-Bulk describes crystalline Ce2DyTmBi4 at its relaxed geometry. The functional is GGA-PBE.

```
8
Lattice="-3.050 -1.089 -3.163 -5.047 -2.109 5.593 -4.362 6.209 2.069" Properties=species:S:1:pos:R:3 pbc="T T T"
Ce -4.362 6.209 2.069
Ce -3.706 2.560 -0.547
Dy -4.705 2.050 3.831
Tm -8.411 4.610 3.284
Bi -7.032 3.123 5.706
Bi -5.428 -0.112 -1.207
Bi -6.367 -0.550 3.089
Bi -6.093 3.561 1.410
```

Output
* energy relative to the elements: -0.802 eV/atom
* space-group type: P2/m
* crystal system: monoclinic
* V: 32.83 Å³/atom
* total DFT energy (no corrections): -5.360 eV/atom

=====

No. 9
This record from Alexandria via LeMat-Bulk describes crystalline Ce3Dy2TmBi6 at its relaxed geometry. The functional is GGA-PBE.

```
12
Lattice="-1.905 -6.404 -4.133 5.954 4.559 -2.342 3.330 -3.406 6.232" Properties=species:S:1:pos:R:3 pbc="T T T"
Ce 6.302 1.019 0.474
Ce 1.077 -6.270 -0.717
Ce 3.690 -2.625 -0.121
Dy 3.331 0.900 -2.940
Dy 0.719 -2.745 -3.535
Tm 0.000 0.000 0.000
Bi 4.276 -5.792 -0.451
Bi 3.844 -2.210 -3.341
Bi 3.104 0.541 0.208
Bi 6.882 -2.157 0.143
Bi 3.536 -3.041 3.098
Bi 0.498 -3.094 -0.386
```

Output
* energy relative to the elements: -0.813 eV/atom
* space-group type: C2/m
* crystal system: monoclinic
* V: 32.94 Å³/atom
* total DFT energy (no corrections): -5.377 eV/atom

=====

No. 10
This record from Alexandria via LeMat-Bulk describes crystalline CeDyTm2Bi4 at its relaxed geometry. The functional is GGA-PBE.

```
8
Lattice="-1.329 -2.763 3.285 0.346 -6.003 -4.909 7.107 -3.137 0.238" Properties=species:S:1:pos:R:3 pbc="T T T"
Ce -0.492 -4.383 -0.812
Dy 3.727 -4.570 -2.336
Tm 7.107 -3.137 0.237
Tm 2.889 -2.950 1.761
Bi 5.553 -6.884 -3.543
Bi 0.571 -5.019 2.156
Bi 1.380 -6.703 -2.006
Bi 4.744 -5.200 0.619
```

Output
* energy relative to the elements: -0.802 eV/atom
* space-group type: P2/m
* crystal system: monoclinic
* V: 31.95 Å³/atom
* total DFT energy (no corrections): -5.177 eV/atom

=====

No. 11
This record from Alexandria via LeMat-Bulk describes crystalline Ce2DyTmBi5 at its relaxed geometry. The functional is GGA-PBE.

```
9
Lattice="-0.888 5.203 -1.420 -5.393 -0.844 0.277 0.095 3.116 11.355" Properties=species:S:1:pos:R:3 pbc="T T T"
Ce -3.113 3.068 2.666
Ce -3.072 4.407 7.546
Dy 0.048 1.558 5.678
Tm 0.000 0.000 0.000
Bi -2.649 1.136 5.816
Bi -0.396 4.159 4.967
Bi 0.072 2.351 8.567
Bi 0.023 0.765 2.788
Bi -3.140 2.179 -0.572
```

Output
* energy relative to the elements: -0.081 eV/atom
* space-group type: P4/mmm
* crystal system: tetragonal
* V: 39.08 Å³/atom
* total DFT energy (no corrections): -4.564 eV/atom

=====

No. 12
This record from Alexandria via LeMat-Bulk describes crystalline Ce2DyY3Bi6 at its relaxed geometry. The functional is GGA-PBE.

```
12
Lattice="7.838 -0.001 0.000 -3.918 6.788 0.000 -1.308 -2.264 7.380" Properties=species:S:1:pos:R:3 pbc="T T T"
Ce 0.006 4.521 0.000
Ce 3.913 2.265 0.000
Dy 0.000 0.000 0.000
Y -2.594 4.514 3.690
Y 5.206 0.009 3.690
Y 1.306 2.261 3.690
Bi 3.906 2.284 5.513
Bi 2.627 4.549 1.884
Bi -1.294 2.238 1.868
Bi 0.026 4.525 5.513
Bi -0.015 -0.027 5.497
Bi 2.586 -0.003 1.868
```

Output
* energy relative to the elements: -0.857 eV/atom
* space-group type: C2/m
* crystal system: monoclinic
* V: 32.72 Å³/atom
* total DFT energy (no corrections): -5.786 eV/atom